Entry from the Alexandria database: crystalline NaCr4Cu3O12 at its relaxed geometry (PBE+U).

Results
As for the space-group type: Im-3. The calculation puts the mass density at 5.12 g cm⁻³. The value obtained for the total energy is -6.439 eV/atom.

Unit cell a=6.369 b=6.369 c=6.369 alpha=109.47 beta=109.47 gamma=109.47
Last column: magnetic moment on the atom in μB.
Positions (direct):
Na (0.000, 0.000, 0.000)  0.00
O (0.685, 0.172, 0.857)  -0.11
O (0.857, 0.685, 0.172)  -0.11
O (0.487, 0.315, 0.172)  -0.11
Cr (0.500, 0.000, 0.000)  2.73
Cu (0.000, 0.500, 0.500)  0.07
O (0.828, 0.143, 0.315)  -0.11
O (0.143, 0.315, 0.828)  -0.11
Cr (0.500, 0.500, 0.500)  2.73
Cu (0.500, 0.000, 0.500)  0.07
Cr (0.000, 0.000, 0.500)  2.73
O (0.828, 0.513, 0.685)  -0.11
Cu (0.500, 0.500, 0.000)  0.07
O (0.513, 0.685, 0.828)  -0.11
O (0.172, 0.857, 0.685)  -0.11
O (0.685, 0.828, 0.513)  -0.11
O (0.315, 0.172, 0.487)  -0.11
O (0.172, 0.487, 0.315)  -0.11
Cr (0.000, 0.500, 0.000)  2.73
O (0.315, 0.828, 0.143)  -0.11